First-principles (PBE) data for crystalline NaAg3Ge at its relaxed geometry, as listed in the Alexandria database.

Cell lengths 4.918, 4.918, 4.918 Å; angles 90.00, 90.00, 90.00 degrees
Atoms (fractional coordinates):
1 Na 0.000 0.000 0.000
2 Ge 0.500 0.500 0.500
3 Ag 0.000 0.500 0.000
4 Ag 0.000 0.000 0.500
5 Ag 0.500 0.000 0.000



First-principles (PBE) data for crystalline Na4AgGe at its relaxed geometry, as listed in the Alexandria database.

Cell lengths 7.521, 7.521, 7.859 Å; angles 118.59, 118.59, 90.00 degrees
Atoms (fractional coordinates):
1 Ag 0.500 0.500 0.000
2 Ge 0.750 0.750 0.500
3 Na 0.959 0.813 0.272
4 Na 0.041 0.187 0.728
5 Na 0.813 0.313 0.272
6 Na 0.687 0.541 0.728
7 Na 0.459 0.959 0.272
8 Na 0.541 0.041 0.728
9 Na 0.313 0.459 0.272
10 Na 0.187 0.687 0.728
11 Ag 0.000 0.000 0.000
12 Ge 0.250 0.250 0.500



First-principles (PBE) data for crystalline NaAg2Ge at its relaxed geometry, as listed in the Alexandria database.

Cell lengths 4.258, 4.258, 9.965 Å; angles 77.66, 77.66, 90.00 degrees
Atoms (fractional coordinates):
1 Ag 0.875 0.907 0.750
2 Ag 0.093 0.625 0.250
3 Ag 0.375 0.343 0.750
4 Ge 0.000 0.000 0.000
5 Ag 0.657 0.125 0.250
6 Na 0.250 0.750 0.500
7 Na 0.500 0.500 0.000
8 Ge 0.750 0.250 0.500



First-principles (PBE) data for crystalline NaAg2Ge2 at its relaxed geometry, as listed in the Alexandria database.

Cell lengths 8.223, 8.223, 2.985 Å; angles 90.00, 90.00, 90.00 degrees
Atoms (fractional coordinates):
1 Ag 0.347 0.153 0.500
2 Ge 0.857 0.643 0.000
3 Ag 0.153 0.653 0.500
4 Na 0.500 0.500 0.000
5 Na 0.000 0.000 0.000
6 Ge 0.143 0.357 0.000
7 Ge 0.357 0.857 0.000
8 Ag 0.653 0.847 0.500
9 Ge 0.643 0.143 0.000
10 Ag 0.847 0.347 0.500

Values from the calculation:
The calculation puts the relative energy among the computed polymorphs at 57 meV per atom.



First-principles (PBE) data for crystalline Na2Ag5Ge4 at its relaxed geometry, as listed in the Alexandria database.

Cell lengths 6.667, 6.643, 8.051 Å; angles 55.35, 65.54, 59.88 degrees
Atoms (fractional coordinates):
1 Ag 0.659 0.279 0.953
2 Ge 0.777 0.689 0.757
3 Ge 0.223 0.311 0.243
4 Ag 0.341 0.721 0.047
5 Ge 0.555 0.107 0.783
6 Ag 0.109 0.279 0.953
7 Na 0.720 0.218 0.342
8 Ag 0.891 0.721 0.047
9 Ge 0.445 0.893 0.217
10 Na 0.280 0.782 0.658
11 Ag 0.000 0.500 0.500



First-principles (PBE) data for crystalline Na2Ag3Ge2 at its relaxed geometry, as listed in the Alexandria database.

Cell lengths 4.633, 5.830, 6.433 Å; angles 109.29, 90.00, 113.41 degrees
Atoms (fractional coordinates):
1 Ag 0.302 0.603 0.138
2 Na 0.380 0.759 0.659
3 Ag 0.698 0.397 0.862
4 Ge 0.900 0.799 0.317
5 Ag 0.000 0.000 0.000
6 Ge 0.100 0.201 0.683
7 Na 0.620 0.241 0.341



Computed formation energy from the elements (eV/atom) in order:
0.871; -0.012; 0.259; 0.059; 0.097; -0.063